Entry 1:
# YTc2Mo

A relaxed YTc2Mo crystal (PBE, Alexandria via LeMat-Bulk).

Geometry as extended XYZ:
```
8
Lattice="7.3158 0.0000 0.0000 0.0000 7.3158 0.0000 3.6579 3.6579 2.8970" Properties=species:S:1:pos:R:3 pbc="T T T"
Tc 5.4869 5.1437 2.1728
Tc 1.4858 5.4869 0.7243
Tc 5.8300 1.8290 0.7243
Tc 9.1448 9.4879 2.1728
Mo 0.0000 0.0000 0.0000
Mo 7.3158 3.6579 1.4485
Y 3.6579 3.6579 0.0000
Y 3.6579 7.3158 1.4485
```

Summary:
Its space-group type is I-42d. The value obtained for the formation energy is 0.568 eV per atom.

=====

Entry 2:
# Y2TcMo

A relaxed Y2TcMo crystal (PBE, Alexandria via LeMat-Bulk).

Geometry as extended XYZ:
```
4
Lattice="3.2385 0.0000 0.0000 0.0000 3.2385 0.0000 0.0000 0.0000 8.5943" Properties=species:S:1:pos:R:3 pbc="T T T"
Y 0.0000 0.0000 8.0544
Y 1.6193 1.6193 2.6417
Mo 0.0000 0.0000 4.7325
Tc 1.6193 1.6193 6.0571
```

Summary:
Its space-group type is P4mm. The value obtained for the formation energy is 0.046 eV per atom.

=====

Entry 3:
# YTc2Mo

A relaxed YTc2Mo crystal (PBE, Alexandria via LeMat-Bulk).

Geometry as extended XYZ:
```
4
Lattice="-3.8125 -4.1078 -7.2145 -5.9009 -4.7440 -5.1119 -5.9847 -2.0922 -6.5775" Properties=species:S:1:pos:R:3 pbc="T T T"
Tc -4.0729 -2.8394 -4.9046
Tc -15.6945 -10.9414 -18.8996
Mo -11.6140 -8.0967 -13.9858
Y -7.8640 -5.4824 -9.4699
```

Summary:
Its space-group type is R3m. The value obtained for the formation energy is 0.489 eV per atom.

=====

Entry 4:
# YTcMo2

A relaxed YTcMo2 crystal (PBE, Alexandria via LeMat-Bulk).

Geometry as extended XYZ:
```
4
Lattice="5.3522 0.0019 0.0064 -2.3872 4.8635 -0.0035 0.5778 0.8149 2.6949" Properties=species:S:1:pos:R:3 pbc="T T T"
Mo 0.0000 0.0000 0.0000
Mo 2.9650 0.4084 1.3507
Y 1.4825 2.4327 0.0015
Tc -0.9047 2.8392 1.3457
```

Summary:
Its space-group type is C2/m. The value obtained for the formation energy is 0.351 eV per atom.

=====

Entry 5:
# YTcMo2

A relaxed YTcMo2 crystal (PBE, Alexandria via LeMat-Bulk).

Geometry as extended XYZ:
```
4
Lattice="-1.3343 -3.6171 3.9512 5.2197 0.6828 -1.6627 0.3535 1.9622 1.9156" Properties=species:S:1:pos:R:3 pbc="T T T"
Tc -0.4904 -0.8275 2.9334
Mo 1.9427 -1.4671 1.1443
Mo 0.0000 0.0000 0.0000
Y 2.7866 1.3225 0.1265
```

Summary:
Its space-group type is Cmmm. The value obtained for the formation energy is 0.542 eV per atom.

=====

Entry 6:
# YTcMo

A relaxed YTcMo crystal (PBE, Alexandria via LeMat-Bulk).

Geometry as extended XYZ:
```
3
Lattice="-2.0021 1.2087 5.4520 2.2696 -0.3907 5.4672 0.6640 1.7200 -5.6387" Properties=species:S:1:pos:R:3 pbc="T T T"
Y 0.1788 0.5469 7.2999
Mo 0.2612 0.7988 10.6618
Tc 0.0950 0.2904 3.8768
```

Summary:
Its space-group type is I4mm. The value obtained for the formation energy is 0.063 eV per atom.

=====

Entry 7:
# YTc2Mo

A relaxed YTc2Mo crystal (PBE, Alexandria via LeMat-Bulk).

Geometry as extended XYZ:
```
4
Lattice="-2.0587 1.9677 -0.0866 -1.0634 -2.5017 0.8535 1.7587 2.2231 8.7069" Properties=species:S:1:pos:R:3 pbc="T T T"
Tc 0.0072 0.0090 0.0354
Tc -1.1652 0.2333 2.3429
Mo -0.1925 1.4629 7.1584
Y 0.8667 1.0955 4.2906
```

Summary:
Its space-group type is Cmm2. The value obtained for the formation energy is 0.403 eV per atom.

=====

Entry 8:
# YTc2Mo

A relaxed YTc2Mo crystal (PBE, Alexandria via LeMat-Bulk).

Geometry as extended XYZ:
```
4
Lattice="-4.1877 1.5646 -2.9261 -4.5426 -2.5076 1.2740 3.8865 3.1926 1.8027" Properties=species:S:1:pos:R:3 pbc="T T T"
Tc -4.1877 -0.4523 -0.7924
Tc -0.1775 -0.0192 -0.0336
Y -2.3332 2.1428 -0.9747
Mo -2.5107 0.1067 1.1254
```

Summary:
Its space-group type is Immm. The value obtained for the formation energy is 0.246 eV per atom.

=====

Entry 9:
# YTc2Mo

A relaxed YTc2Mo crystal (PBE, Alexandria via LeMat-Bulk).

Geometry as extended XYZ:
```
4
Lattice="5.4443 0.0028 0.0072 4.4931 3.0746 0.0072 2.0079 0.6218 4.1798" Properties=species:S:1:pos:R:3 pbc="T T T"
Tc 8.8374 2.7367 3.2083
Tc 9.9252 3.0736 0.0214
Y 5.9664 1.8477 2.1007
Mo 3.1263 0.9682 0.9753
```

Summary:
Its space-group type is Imm2. The value obtained for the formation energy is 0.200 eV per atom.

=====

Entry 10:
# Y2TcMo2

A relaxed Y2TcMo2 crystal (PBE, Alexandria via LeMat-Bulk).

Geometry as extended XYZ:
```
10
Lattice="6.5404 0.0000 0.0000 0.0000 6.5404 0.0000 0.0000 0.0000 4.9781" Properties=species:S:1:pos:R:3 pbc="T T T"
Mo 0.8857 2.3845 0.0000
Mo 4.1559 0.8857 0.0000
Mo 2.3845 5.6546 0.0000
Mo 5.6546 4.1559 0.0000
Y 5.3871 2.1169 2.4890
Y 2.1169 1.1533 2.4890
Y 1.1533 4.4235 2.4890
Y 4.4235 5.3871 2.4890
Tc 0.0000 0.0000 0.0000
Tc 3.2702 3.2702 0.0000
```

Summary:
Its space-group type is P4/mbm. The value obtained for the formation energy is 0.192 eV per atom.

=====

Entry 11:
# YTcMo2

A relaxed YTcMo2 crystal (PBE, Alexandria via LeMat-Bulk).

Geometry as extended XYZ:
```
4
Lattice="-0.8863 -5.4131 0.9787 0.0499 -3.7383 -4.1314 3.0967 4.2038 1.9452" Properties=species:S:1:pos:R:3 pbc="T T T"
Tc 1.3642 -2.0551 -1.8813
Mo 0.0000 0.0000 0.0000
Mo -0.4182 -4.5757 -1.5763
Y 0.8961 -2.8925 0.6738
```

Summary:
Its space-group type is I4/mmm. The value obtained for the formation energy is 0.476 eV per atom.

=====

Entry 12:
# YTcMo2

A relaxed YTcMo2 crystal (PBE, Alexandria via LeMat-Bulk).

Geometry as extended XYZ:
```
4
Lattice="4.5298 0.0000 0.0000 0.0000 2.9297 0.0044 0.0000 1.1186 5.3654" Properties=species:S:1:pos:R:3 pbc="T T T"
Tc 2.2649 1.0121 1.3425
Mo 0.0000 1.9822 2.5463
Mo 0.0000 0.0419 0.1386
Y 2.2649 3.0363 4.0274
```

Summary:
Its space-group type is P2/m. The value obtained for the formation energy is 0.323 eV per atom.